# YTe2IrN

A relaxed structure of YTe2IrN (PBE-GGA, Alexandria).

Computed properties:
The volume is 23.06 Å³/atom. The value obtained for the formation energy from raw total energies is -236 meV/atom. Its total energy is -6.2226 eV/atom.

a = 5.544 Å, b = 5.544 Å, c = 3.752 Å
α = 90.00°, β = 90.00°, γ = 90.00°
Fractional positions:
Y 0.000 0.000 0.000
Te 0.000 0.500 0.500
Te 0.500 0.000 0.500
Ir 0.500 0.500 0.500
N 0.500 0.500 0.000